First-principles (PBE) data for a relaxed Ga3AgP crystal, as listed in Alexandria via LeMat-Bulk.

a = 4.924 Å, b = 4.924 Å, c = 4.924 Å
α = 90.00°, β = 90.00°, γ = 90.00°
Positions (direct):
P  0.500  0.500  0.500
Ga  0.000  0.500  0.000
Ga  0.000  0.000  0.500
Ga  0.500  0.000  0.000
Ag  0.000  0.000  0.000

## Properties
- ΔE_f (eV/atom) = 0.58
- space group = Pm-3m
- DFT total energy (eV per formula unit) = -14.46



First-principles (PBE) data for a relaxed GaAgP crystal, as listed in Alexandria via LeMat-Bulk.

a = 3.191 Å, b = 5.232 Å, c = 7.570 Å
α = 72.18°, β = 89.71°, γ = 72.38°
Positions (direct):
Ga  0.886  0.420  0.276
Ga  0.217  0.772  0.977
Ag  0.195  0.803  0.379
Ag  0.505  0.189  0.052
P  0.438  0.319  0.677
P  0.074  0.044  0.636

## Properties
- ΔE_f (eV/atom) = 0.05
- space group = P1
- DFT total energy (eV per formula unit) = -11.14



First-principles (PBE) data for a relaxed GaAgP crystal, as listed in Alexandria via LeMat-Bulk.

a = 3.213 Å, b = 4.761 Å, c = 7.564 Å
α = 102.95°, β = 90.00°, γ = 90.00°
Positions (direct):
Ga  0.750  0.635  0.173
Ga  0.250  0.365  0.827
Ag  0.250  0.155  0.148
Ag  0.750  0.845  0.852
P  0.750  0.848  0.514
P  0.250  0.152  0.486

## Properties
- ΔE_f (eV/atom) = 0.01
- space group = P2_1/m
- DFT total energy (eV per formula unit) = -11.25



For reference, E above lowest polymorph by record: 0.203; 0.037; 0.000 eV per atom.
For reference, magnetic moment by record: 0.00; 0.00; 0.00 μB/cell.